# 1
First-principles (PBE) data for crystalline Na2Sr4Zn at its relaxed geometry, as listed in the Alexandria database.

## Properties
- distance to the lowest polymorph of the same formula (meV/atom) = 51
- formation energy from the elements (eV per atom) = 0.072
- E (eV per atom) = -1.448

```
data_Na2Sr4Zn
_symmetry_space_group_name_H-M 'P 1'
_symmetry_Int_Tables_number 1
_symmetry_space_group_name_Hall 'P 1'
_cell_length_a 6.054
_cell_length_b 6.054
_cell_length_c 10.454
_cell_angle_alpha 73.17
_cell_angle_beta 73.17
_cell_angle_gamma 90.00
loop_
_atom_site_label
_atom_site_type_symbol
_atom_site_fract_x
_atom_site_fract_y
_atom_site_fract_z
Na1 Na 0.632 0.632 0.736
Na2 Na 0.368 0.368 0.264
Sr1 Sr 0.500 0.000 0.000
Sr2 Sr 0.831 0.831 0.339
Zn1 Zn 0.000 0.000 0.000
Sr3 Sr 0.169 0.169 0.661
Sr4 Sr 0.000 0.500 0.000
```



# 2
First-principles (PBE) data for crystalline Nd2YTlO at its relaxed geometry, as listed in the Alexandria database.

## Properties
- formation energy from raw total energies (eV per formula unit) = -6.73
- E (eV per atom) = -6.011

```
data_Nd2YTlO
_symmetry_space_group_name_H-M 'P 1'
_symmetry_Int_Tables_number 1
_symmetry_space_group_name_Hall 'P 1'
_cell_length_a 4.784
_cell_length_b 5.009
_cell_length_c 5.009
_cell_angle_alpha 90.00
_cell_angle_beta 90.00
_cell_angle_gamma 90.00
loop_
_atom_site_label
_atom_site_type_symbol
_atom_site_fract_x
_atom_site_fract_y
_atom_site_fract_z
Nd1 Nd 0.000 0.000 0.500
Tl1 Tl 0.500 0.500 0.500
O1 O 0.000 0.000 0.000
Y1 Y 0.500 0.000 0.000
Nd2 Nd 0.000 0.500 0.000
```



# 3
First-principles (PBE) data for crystalline Ag4AuBr5 at its relaxed geometry, as listed in the Alexandria database.

## Properties
- formation energy from raw total energies (eV per formula unit) = -2.43
- E (eV per atom) = -2.547

```
data_Ag4AuBr5
_symmetry_space_group_name_H-M 'P 1'
_symmetry_Int_Tables_number 1
_symmetry_space_group_name_Hall 'P 1'
_cell_length_a 4.472
_cell_length_b 4.472
_cell_length_c 18.215
_cell_angle_alpha 82.95
_cell_angle_beta 82.95
_cell_angle_gamma 60.00
loop_
_atom_site_label
_atom_site_type_symbol
_atom_site_fract_x
_atom_site_fract_y
_atom_site_fract_z
Br1 Br 0.000 0.000 0.001
Br2 Br 0.201 0.201 0.397
Ag1 Ag 0.349 0.349 0.952
Br3 Br 0.800 0.800 0.599
Br4 Br 0.601 0.601 0.196
Ag2 Ag 0.550 0.550 0.349
Ag3 Ag 0.150 0.150 0.550
Ag4 Ag 0.750 0.750 0.751
Br5 Br 0.400 0.400 0.800
Au1 Au 0.948 0.948 0.155
```



# 4
First-principles (PBE) data for crystalline BaInRu2O8 at its relaxed geometry, as listed in the Alexandria database.

## Properties
- formation energy from raw total energies (eV per formula unit) = -14.55
- E (eV per atom) = -6.452

```
data_BaInRu2O8
_symmetry_space_group_name_H-M 'P 1'
_symmetry_Int_Tables_number 1
_symmetry_space_group_name_Hall 'P 1'
_cell_length_a 5.571
_cell_length_b 5.571
_cell_length_c 7.760
_cell_angle_alpha 90.00
_cell_angle_beta 90.00
_cell_angle_gamma 120.00
loop_
_atom_site_label
_atom_site_type_symbol
_atom_site_fract_x
_atom_site_fract_y
_atom_site_fract_z
O1 O 0.333 0.667 0.973
Ba1 Ba 0.000 0.000 0.000
O2 O 0.260 0.942 0.687
O3 O 0.318 0.260 0.313
O4 O 0.740 0.058 0.313
In1 In 0.000 0.000 0.500
Ru1 Ru 0.333 0.667 0.742
O5 O 0.682 0.740 0.687
Ru2 Ru 0.667 0.333 0.258
O6 O 0.058 0.318 0.687
O7 O 0.667 0.333 0.027
O8 O 0.942 0.682 0.313
```



Number 4 is which compound? BaInRu2O8



Which of these has the lowest E? BaInRu2O8



Number 2 is which compound? Nd2YTlO